# Ta2ZnAu PBE relaxed
# Theoretical density in g/cm3: 15.05
# Total magnetic moment in Bohr magnetons per cell: 0.0
# Energy of formation in eV/f.u.: 0.6
# Density of states at the Fermi level in states/eV per cell: 3.15
# Electronic total energy in eV for the cell shown: -27.680
data_Ta2ZnAu
_chemical_formula_sum 'Ta2 Zn1 Au1'
_space_group_name_H-M_alt 'P 4/m m m'
_space_group_IT_number 123
_space_group_name_Hall '-P 4 2'
_cell_length_a 3.523
_cell_length_b 3.523
_cell_length_c 5.550
_cell_angle_alpha 90.00
_cell_angle_beta 90.00
_cell_angle_gamma 90.00
loop_
_atom_site_label
_atom_site_type_symbol
_atom_site_fract_x
_atom_site_fract_y
_atom_site_fract_z
Ta1 Ta 0.000 0.000 0.243
Zn1 Zn 0.500 0.500 0.000
Au1 Au 0.500 0.500 0.500